Record 1
The following is a PBE calculation of HfTcNiPb after structural relaxation, from the Open Quantum Materials Database.

Cell and atoms, written as CIF:
```
data_HfTcNiPb
_chemical_formula_sum 'Hf1 Tc1 Ni1 Pb1'
_cell_length_a 4.5800
_cell_length_b 4.5800
_cell_length_c 4.5800
_cell_angle_alpha 60.00
_cell_angle_beta 60.00
_cell_angle_gamma 60.00
_space_group_name_H-M_alt 'P 1'
_space_group_IT_number 1
_space_group_name_Hall 'P 1'
loop_
_atom_site_label
_atom_site_type_symbol
_atom_site_fract_x
_atom_site_fract_y
_atom_site_fract_z
_atom_site_occupancy
Hf1 Hf 0.0000 0.0000 0.0000 1
Tc1 Tc 0.7500 0.7500 0.7500 1
Ni1 Ni 0.5000 0.5000 0.5000 1
Pb1 Pb 0.2500 0.2500 0.2500 1
```

raw total energy	-6.948	eV per atom


Record 2
The following is a PBE calculation of LaPrSbI2 after structural relaxation, from the Open Quantum Materials Database.

Cell and atoms, written as CIF:
```
data_LaPrSbI2
_chemical_formula_sum 'La1 Pr1 Sb1 I2'
_cell_length_a 4.5396
_cell_length_b 4.5396
_cell_length_c 11.6588
_cell_angle_alpha 90.00
_cell_angle_beta 90.00
_cell_angle_gamma 120.00
_space_group_name_H-M_alt 'P 1'
_space_group_IT_number 1
_space_group_name_Hall 'P 1'
loop_
_atom_site_label
_atom_site_type_symbol
_atom_site_fract_x
_atom_site_fract_y
_atom_site_fract_z
_atom_site_occupancy
La1 La 0.0000 0.0000 0.0000 1
Pr1 Pr 0.3333 0.6667 0.3068 1
Sb1 Sb 0.6667 0.3333 0.1552 1
I1 I 0.0000 0.0000 0.4781 1
I2 I 0.3333 0.6667 0.8268 1
```

raw total energy	-4.771	eV per atom


Record 3
The following is a PBE calculation of LiYLu2 after structural relaxation, from the Open Quantum Materials Database.

Cell and atoms, written as CIF:
```
data_LiYLu2
_chemical_formula_sum 'Li1 Y1 Lu2'
_cell_length_a 5.3743
_cell_length_b 5.3743
_cell_length_c 5.3743
_cell_angle_alpha 60.00
_cell_angle_beta 60.00
_cell_angle_gamma 60.00
_space_group_name_H-M_alt 'P 1'
_space_group_IT_number 1
_space_group_name_Hall 'P 1'
loop_
_atom_site_label
_atom_site_type_symbol
_atom_site_fract_x
_atom_site_fract_y
_atom_site_fract_z
_atom_site_occupancy
Li1 Li 0.0000 0.0000 0.0000 1
Y1 Y 0.2500 0.2500 0.2500 1
Lu1 Lu 0.5000 0.5000 0.5000 1
Lu2 Lu 0.7500 0.7500 0.7500 1
```

raw total energy	-4.182	eV per atom